Compound: Ga2TcAu
Source: Alexandria
Functional: PBE
Structure: relaxed

Cell and atoms, written as POSCAR:
```
Ga2TcAu
1.0
-0.5570 -3.5545 -1.5592
2.5126 -1.3838 -2.6736
3.5685 -3.7930 2.4413
Ga Tc Au
2 1 1
Cartesian
2.9113 -3.3093 1.5733
1.3149 -2.1342 -0.5352
4.8108 -7.0401 -0.4617
2.8175 -4.4065 -0.8225
```

Output
**DOS(E_F)**: 2.67 states/eV/cell
**Space-group type**: R3m (160)
**Energy relative to the elements**: 111.9 meV/atom
**Calculated volume**: 70.41 Å³ per cell
**Energy above the most stable polymorph in this dataset**: 0.2276 eV per atom

=====

Compound: TaTi2GaH
Source: Alexandria
Functional: PBE
Structure: relaxed

Cell and atoms, written as POSCAR:
```
TaTi2GaH
1.0
3.8756 0.0000 0.0000
0.0000 3.8756 0.0000
0.0000 0.0000 4.5733
H Ti Ga Ta
1 2 1 1
Cartesian
0.0000 0.0000 0.0000
0.0000 1.9378 0.0000
1.9378 0.0000 0.0000
0.0000 0.0000 2.2866
1.9378 1.9378 2.2866
```

Output
**DOS(E_F)**: 4.53 states/eV/cell
**Space-group type**: P4/mmm (123)
**Calculated volume**: 68.69 Å³ per cell
**Energy above the most stable polymorph in this dataset**: 0.1145 eV per atom

=====

Compound: KAlH6O2F6
Source: Alexandria
Functional: PBE
Structure: relaxed

Cell and atoms, written as POSCAR:
```
KAlH6O2F6
1.0
-3.7183 3.5148 -7.1197
-1.5673 -8.0319 -3.1466
-7.7838 -0.0617 4.0347
Al F H K O
4 24 24 4 8
Cartesian
-1.8592 1.7574 -3.5598
-3.8919 -0.0309 2.0173
-6.5347 -2.2894 -3.1158
-0.7837 -4.0160 -1.5733
-2.3156 -0.0228 -3.4944
-5.7980 -6.2889 -0.7826
-6.6821 -3.6037 -4.3936
-11.3431 0.7577 -3.7928
-2.3706 -3.3232 -0.9541
-8.4359 1.3620 -0.8718
-7.9467 -3.0060 -2.1806
-7.3857 -4.1905 -8.4568
-4.1793 0.2400 0.2213
-4.3747 -1.5925 -7.2184
-7.6799 -1.2061 -4.0628
-9.9050 -6.5990 -1.4034
-10.7538 -4.5560 -2.7373
-7.2714 1.7101 -5.4491
-6.3873 -0.9751 -1.8381
-1.7263 -5.3365 -2.4389
-10.6988 -1.2557 -5.2776
-4.6335 -5.9408 -5.3598
-5.1227 -1.5728 -4.0510
-5.6837 -0.3884 2.2251
-8.8901 -4.8188 -6.4529
-8.6947 -2.9863 0.9868
-5.3896 -3.3728 -2.1688
-3.1644 2.0202 -4.8283
-2.4693 -0.5435 -2.1760
-6.9704 -5.7787 -1.4136
-6.5396 -3.1404 -5.7344
-10.1596 0.3049 -3.1392
-2.4980 -1.9117 -1.1103
-8.9419 0.5493 -1.9284
-7.8748 -4.4179 -1.9956
-6.8241 -3.3773 -7.4290
-3.2482 -0.4231 -0.6309
-5.5728 -2.2978 -6.9023
-8.6376 -0.5179 -3.2614
-8.6803 -5.9188 -1.6687
-10.6002 -4.0353 -4.0556
-6.0991 1.1999 -4.8180
-6.5298 -1.4385 -0.4972
-2.9099 -4.8837 -3.0924
-10.5714 -2.6671 -5.1213
-4.1275 -5.1281 -4.3032
-5.1946 -0.1609 -4.2361
-6.2453 -1.2015 1.1973
-9.8213 -4.1557 -5.6007
-7.4966 -2.2810 0.6706
-4.4319 -4.0609 -2.9702
-4.3891 1.3400 -4.5630
0.0000 0.0000 0.0000
-5.7510 1.7265 -1.5425
-4.6756 -4.0468 0.4440
-2.6428 -2.2585 -5.1332
-2.5010 -0.8762 -1.1925
-7.7964 -5.4528 -1.9524
-6.4927 -2.7298 -6.6874
-9.3487 -0.0988 -2.6309
-10.5684 -3.7026 -5.0391
-5.2730 0.8739 -4.2792
-6.5767 -1.8490 0.4558
-3.7207 -4.4800 -3.6008
```

Output
**DOS(E_F)**: 0.00 states/eV/cell
**Energy**: -319.5 eV per cell
**Space-group type**: Pa-3 (205)
**Calculated volume**: 673.95 Å³ per cell

=====

Repeat the third record exactly.
Compound: KAlH6O2F6
Source: Alexandria
Functional: PBE
Structure: relaxed

Cell and atoms, written as POSCAR:
```
KAlH6O2F6
1.0
-3.7183 3.5148 -7.1197
-1.5673 -8.0319 -3.1466
-7.7838 -0.0617 4.0347
Al F H K O
4 24 24 4 8
Cartesian
-1.8592 1.7574 -3.5598
-3.8919 -0.0309 2.0173
-6.5347 -2.2894 -3.1158
-0.7837 -4.0160 -1.5733
-2.3156 -0.0228 -3.4944
-5.7980 -6.2889 -0.7826
-6.6821 -3.6037 -4.3936
-11.3431 0.7577 -3.7928
-2.3706 -3.3232 -0.9541
-8.4359 1.3620 -0.8718
-7.9467 -3.0060 -2.1806
-7.3857 -4.1905 -8.4568
-4.1793 0.2400 0.2213
-4.3747 -1.5925 -7.2184
-7.6799 -1.2061 -4.0628
-9.9050 -6.5990 -1.4034
-10.7538 -4.5560 -2.7373
-7.2714 1.7101 -5.4491
-6.3873 -0.9751 -1.8381
-1.7263 -5.3365 -2.4389
-10.6988 -1.2557 -5.2776
-4.6335 -5.9408 -5.3598
-5.1227 -1.5728 -4.0510
-5.6837 -0.3884 2.2251
-8.8901 -4.8188 -6.4529
-8.6947 -2.9863 0.9868
-5.3896 -3.3728 -2.1688
-3.1644 2.0202 -4.8283
-2.4693 -0.5435 -2.1760
-6.9704 -5.7787 -1.4136
-6.5396 -3.1404 -5.7344
-10.1596 0.3049 -3.1392
-2.4980 -1.9117 -1.1103
-8.9419 0.5493 -1.9284
-7.8748 -4.4179 -1.9956
-6.8241 -3.3773 -7.4290
-3.2482 -0.4231 -0.6309
-5.5728 -2.2978 -6.9023
-8.6376 -0.5179 -3.2614
-8.6803 -5.9188 -1.6687
-10.6002 -4.0353 -4.0556
-6.0991 1.1999 -4.8180
-6.5298 -1.4385 -0.4972
-2.9099 -4.8837 -3.0924
-10.5714 -2.6671 -5.1213
-4.1275 -5.1281 -4.3032
-5.1946 -0.1609 -4.2361
-6.2453 -1.2015 1.1973
-9.8213 -4.1557 -5.6007
-7.4966 -2.2810 0.6706
-4.4319 -4.0609 -2.9702
-4.3891 1.3400 -4.5630
0.0000 0.0000 0.0000
-5.7510 1.7265 -1.5425
-4.6756 -4.0468 0.4440
-2.6428 -2.2585 -5.1332
-2.5010 -0.8762 -1.1925
-7.7964 -5.4528 -1.9524
-6.4927 -2.7298 -6.6874
-9.3487 -0.0988 -2.6309
-10.5684 -3.7026 -5.0391
-5.2730 0.8739 -4.2792
-6.5767 -1.8490 0.4558
-3.7207 -4.4800 -3.6008
```

Output
**DOS(E_F)**: 0.00 states/eV/cell
**Energy**: -319.5 eV per cell
**Space-group type**: Pa-3 (205)
**Calculated volume**: 673.95 Å³ per cell

=====

Question: Among the records above, which one has the lowest DOS(E_F)?
Answer: KAlH6O2F6

=====

Copy entry 2 word for word.
Compound: TaTi2GaH
Source: Alexandria
Functional: PBE
Structure: relaxed

Cell and atoms, written as POSCAR:
```
TaTi2GaH
1.0
3.8756 0.0000 0.0000
0.0000 3.8756 0.0000
0.0000 0.0000 4.5733
H Ti Ga Ta
1 2 1 1
Cartesian
0.0000 0.0000 0.0000
0.0000 1.9378 0.0000
1.9378 0.0000 0.0000
0.0000 0.0000 2.2866
1.9378 1.9378 2.2866
```

Output
**DOS(E_F)**: 4.53 states/eV/cell
**Space-group type**: P4/mmm (123)
**Calculated volume**: 68.69 Å³ per cell
**Energy above the most stable polymorph in this dataset**: 0.1145 eV per atom

=====

Question: Which of these has the highest DOS(E_F)?
Answer: TaTi2GaH